Compound: GdGeHO4
Source: the Open Quantum Materials Database
Functional: PBE-GGA
Structure: optimized geometry

Cell and atoms, written as POSCAR:
```
GdGeHO4
1.0
10.9386 0.0000 0.0000
0.0000 6.2007 0.0000
0.0000 0.0000 4.8339
Gd Ge H O
4 4 4 16
Cartesian
2.6136 1.5502 0.1637 Gd
2.8557 4.6505 2.5806 Gd
8.0829 1.5502 2.2532 Gd
8.3250 4.6505 4.6702 Gd
0.6806 4.6505 0.3824 Ge
4.7887 1.5502 2.7993 Ge
6.1499 4.6505 2.0345 Ge
10.2580 1.5502 4.4515 Ge
0.0000 0.0000 2.4169 H
0.0000 3.1003 2.4169 H
5.4693 0.0000 0.0000 H
5.4693 3.1003 0.0000 H
0.6956 4.6505 3.4454 O
0.8246 1.5502 3.5599 O
1.6810 3.3321 1.0417 O
1.6810 5.9689 1.0417 O
3.7883 0.2318 3.4586 O
3.7883 2.8685 3.4586 O
4.6447 4.6505 1.1430 O
4.7737 1.5502 1.0285 O
6.1649 4.6505 3.8054 O
6.2938 1.5502 3.6909 O
7.1503 3.3321 1.3752 O
7.1503 5.9689 1.3752 O
9.2576 0.2318 3.7922 O
9.2576 2.8685 3.7922 O
10.1140 4.6505 1.2740 O
10.2430 1.5502 1.3884 O
```

Compound: Nb4NiSbN2
Source: the Open Quantum Materials Database
Functional: PBE-GGA
Structure: optimized geometry

Cell and atoms, written as POSCAR:
```
Nb4NiSbN2
1.0
3.2423 0.0000 0.0000
-1.6211 2.8079 0.0000
0.0000 0.0000 12.8354
Nb Ni Sb N
4 1 1 2
Cartesian
0.0000 0.0000 1.8904 Nb
0.0000 0.0000 10.9449 Nb
0.0000 1.8719 4.1799 Nb
0.0000 1.8719 8.6554 Nb
0.0000 1.8719 0.0000 Ni
0.0000 0.0000 6.4177 Sb
1.6211 0.9360 3.0345 N
1.6211 0.9360 9.8009 N
```

Compound: Li2MgZnGa2Pt2
Source: the Open Quantum Materials Database
Functional: PBE-GGA
Structure: optimized geometry

Cell and atoms, written as POSCAR:
```
Li2MgZnGa2Pt2
1.0
4.3589 0.0000 0.0000
0.0000 4.3589 0.0000
0.0000 0.0000 6.1696
Li Mg Zn Ga Pt
2 1 1 2 2
Cartesian
0.0000 2.1794 1.4458 Li
2.1794 0.0000 4.7238 Li
2.1794 2.1794 3.0848 Mg
0.0000 0.0000 0.0000 Zn
0.0000 0.0000 3.0848 Ga
2.1794 2.1794 0.0000 Ga
0.0000 2.1794 4.6649 Pt
2.1794 0.0000 1.5047 Pt
```

Compound: HgAsIrO
Source: the Open Quantum Materials Database
Functional: PBE-GGA
Structure: optimized geometry

Cell and atoms, written as POSCAR:
```
HgAsIrO
1.0
3.5282 0.0000 0.0000
0.0000 6.3471 0.0000
0.0000 0.0000 7.3688
Hg As Ir O
2 2 2 2
Cartesian
0.0000 1.1344 0.0000 Hg
0.0000 5.2127 3.6844 Hg
0.0000 1.3947 2.7400 As
0.0000 4.9524 6.4245 As
1.7641 2.9365 3.2176 Ir
1.7641 3.4106 6.9021 Ir
1.7641 2.6776 5.1313 O
1.7641 3.6695 1.4469 O
```

Compound: DyReNO
Source: the Open Quantum Materials Database
Functional: PBE-GGA
Structure: optimized geometry

Cell and atoms, written as POSCAR:
```
DyReNO
1.0
3.7840 0.0000 0.0000
0.0000 3.7840 0.0000
0.0000 0.0000 7.7557
Dy Re N O
2 2 2 2
Cartesian
0.9460 0.9460 1.1341 Dy
2.8380 2.8380 6.6216 Dy
0.9460 2.8380 3.8779 Re
2.8380 0.9460 3.8779 Re
0.9460 0.9460 4.8771 N
2.8380 2.8380 2.8786 N
0.9460 2.8380 0.0000 O
2.8380 0.9460 0.0000 O
```

Compound: AlZnO2F
Source: the Open Quantum Materials Database
Functional: PBE-GGA
Structure: optimized geometry

Cell and atoms, written as POSCAR:
```
AlZnO2F
1.0
3.7817 0.0000 0.0000
0.0000 3.7817 0.0000
0.0000 0.0000 3.7246
Al Zn O F
1 1 2 1
Cartesian
0.0000 0.0000 0.0000 Al
1.8909 1.8909 2.9229 Zn
0.0000 1.8909 3.5697 O
1.8909 0.0000 3.5697 O
0.0000 0.0000 1.7894 F
```

Compound: DyPbNO
Source: the Open Quantum Materials Database
Functional: PBE-GGA
Structure: optimized geometry

Cell and atoms, written as POSCAR:
```
DyPbNO
1.0
4.3758 0.0000 0.0000
0.0000 4.3758 0.0000
0.0000 0.0000 8.4829
Dy Pb N O
2 2 2 2
Cartesian
1.0940 3.2819 0.0000 Dy
3.2819 1.0940 0.0000 Dy
1.0940 1.0940 3.2243 Pb
3.2819 3.2819 5.2586 Pb
1.0940 1.0940 7.8108 N
3.2819 3.2819 0.6722 N
1.0940 3.2819 4.2415 O
3.2819 1.0940 4.2415 O
```

| no. | uncorrected energy (eV/atom) |
| --- | --- |
| 1 | -6.314 |
| 2 | -8.800 |
| 3 | -3.751 |
| 4 | -4.829 |
| 5 | -8.903 |
| 6 | -5.639 |
| 7 | -6.338 |